# 1
Below is a relaxed structure of NdSb, with properties calculated at the PBE-GGA level.

Calculated values
Symmetry: P6_3/mmc
E_tot in eV per atom: -5.528
Calculated volume in Å³/f.u.: 64.59
Total magnetic moment in μB per cell: 0.00

a = 4.6437 Å, b = 4.6437 Å, c = 6.9178 Å
α = 90.00°, β = 90.00°, γ = 120.00°
Last column: nearest neighbours and their distance in Å.
Fractional coordinates of all 4 atoms:
Nd 0.3333 0.6667 0.2500  6 Sb 3.19
Nd 0.6667 0.3333 0.7500  6 Sb 3.19
Sb 0.0000 0.0000 0.0000  6 Nd 3.19, 2 Sb 3.46
Sb 0.0000 0.0000 0.5000  6 Nd 3.19, 2 Sb 3.46

---

# 2
Below is a relaxed structure of ScPOsO, with properties calculated at the PBE-GGA level.

Calculated values
Symmetry: Pmc2_1
E_tot in eV per atom: -8.188
Calculated volume in Å³/f.u.: 55.37
Total magnetic moment in μB per cell: 0.00

a = 4.2580 Å, b = 4.4087 Å, c = 5.8997 Å
α = 90.00°, β = 90.00°, γ = 90.00°
Last column: nearest neighbours and their distance in Å.
Fractional coordinates of all 8 atoms:
Sc 0.0000 0.2080 0.0000  2 O 2.05-2.06
Sc 0.0000 0.7920 0.5000  2 O 2.05-2.06
P 0.5000 0.1428 0.2965  3 Os 2.30-2.37
P 0.5000 0.8572 0.7965  3 Os 2.30-2.37
Os 0.5000 0.3541 0.6532  2 O 2.14, 3 P 2.30-2.37
Os 0.5000 0.6459 0.1532  2 O 2.14, 3 P 2.30-2.37
O 0.0000 0.3938 0.6818  2 Sc 2.05-2.06, 2 Os 2.14
O 0.0000 0.6062 0.1818  2 Sc 2.05-2.06, 2 Os 2.14

---

# 3
Below is a relaxed structure of LiCdCuSb, with properties calculated at the PBE-GGA level.

Calculated values
Symmetry: F-43m
E_tot in eV per atom: -2.769
Calculated volume in Å³/f.u.: 73.40

a = 4.6998 Å, b = 4.6998 Å, c = 4.6998 Å
α = 60.00°, β = 60.00°, γ = 60.00°
Last column: nearest neighbours and their distance in Å.
Fractional coordinates of all 4 atoms:
Li 0.0000 0.0000 0.0000  4 Cd 2.88, 4 Sb 2.88
Cd 0.7500 0.7500 0.7500  4 Li 2.88, 4 Cu 2.88
Cu 0.5000 0.5000 0.5000  4 Cd 2.88, 4 Sb 2.88
Sb 0.2500 0.2500 0.2500  4 Li 2.88, 4 Cu 2.88

---

# 4
Below is a relaxed structure of Pu3Al, with properties calculated at the PBE-GGA level.

Calculated values
Symmetry: P6_3/mmc
E_tot in eV per atom: -11.684
Calculated volume in Å³/f.u.: 95.46
Total magnetic moment in μB per cell: 33.61

a = 6.5019 Å, b = 6.5019 Å, c = 5.2150 Å
α = 90.00°, β = 90.00°, γ = 120.00°
Last column: nearest neighbours and their distance in Å.
Fractional coordinates of all 8 atoms:
Pu 0.1733 0.3466 0.2500  8 Pu 3.12-3.38, 4 Al 3.17-3.25
Pu 0.1733 0.8267 0.2500  8 Pu 3.12-3.38, 4 Al 3.17-3.25
Pu 0.3466 0.1733 0.7500  8 Pu 3.12-3.38, 4 Al 3.17-3.25
Pu 0.6534 0.8267 0.2500  8 Pu 3.12-3.38, 4 Al 3.17-3.25
Pu 0.8267 0.1733 0.7500  8 Pu 3.12-3.38, 4 Al 3.17-3.25
Pu 0.8267 0.6534 0.7500  8 Pu 3.12-3.38, 4 Al 3.17-3.25
Al 0.3333 0.6667 0.7500  12 Pu 3.17-3.25
Al 0.6667 0.3333 0.2500  12 Pu 3.17-3.25

---

Q: Which of these has the highest calculated volume?
A: Pu3Al

---

Copy entry 1 word for word.
Below is a relaxed structure of NdSb, with properties calculated at the PBE-GGA level.

Calculated values
Symmetry: P6_3/mmc
E_tot in eV per atom: -5.528
Calculated volume in Å³/f.u.: 64.59
Total magnetic moment in μB per cell: 0.00

a = 4.6437 Å, b = 4.6437 Å, c = 6.9178 Å
α = 90.00°, β = 90.00°, γ = 120.00°
Last column: nearest neighbours and their distance in Å.
Fractional coordinates of all 4 atoms:
Nd 0.3333 0.6667 0.2500  6 Sb 3.19
Nd 0.6667 0.3333 0.7500  6 Sb 3.19
Sb 0.0000 0.0000 0.0000  6 Nd 3.19, 2 Sb 3.46
Sb 0.0000 0.0000 0.5000  6 Nd 3.19, 2 Sb 3.46